Material: MgMnAu2
Method: DFT, PBE
State: relaxed

a = 6.512 Å, b = 6.512 Å, c = 6.512 Å
α = 90.00°, β = 90.00°, γ = 90.00°
Sites, in units of the cell vectors:
Mg: 0.000 0.000 0.000
Mg: 0.000 0.500 0.500
Mg: 0.500 0.000 0.500
Mg: 0.500 0.500 0.000
Mn: 0.250 0.250 0.750
Mn: 0.250 0.750 0.250
Mn: 0.750 0.250 0.250
Mn: 0.750 0.750 0.750
Au: 0.000 0.000 0.500
Au: 0.000 0.500 0.000
Au: 0.250 0.250 0.250
Au: 0.250 0.750 0.750
Au: 0.500 0.000 0.000
Au: 0.500 0.500 0.500
Au: 0.750 0.250 0.750
Au: 0.750 0.750 0.250

Energy of formation, eV/atom: -0.16
SG: F-43m (216)

Material: TbGdMgTc
Method: DFT, PBE
State: relaxed

a = 7.156 Å, b = 7.156 Å, c = 7.156 Å
α = 90.00°, β = 90.00°, γ = 90.00°
Sites, in units of the cell vectors:
Tb: 0.000 0.000 0.000
Tb: 0.000 0.500 0.500
Tb: 0.500 0.000 0.500
Tb: 0.500 0.500 0.000
Gd: 0.000 0.000 0.500
Gd: 0.000 0.500 0.000
Gd: 0.500 0.000 0.000
Gd: 0.500 0.500 0.500
Mg: 0.250 0.250 0.750
Mg: 0.250 0.750 0.250
Mg: 0.750 0.250 0.250
Mg: 0.750 0.750 0.750
Tc: 0.250 0.250 0.250
Tc: 0.250 0.750 0.750
Tc: 0.750 0.250 0.750
Tc: 0.750 0.750 0.250

Energy of formation, eV/atom: 0.01
SG: F-43m (216)

Material: Cs2GaAgP
Method: DFT, PBE
State: relaxed

a = 7.133 Å, b = 7.133 Å, c = 4.733 Å
α = 90.00°, β = 90.00°, γ = 90.00°
Sites, in units of the cell vectors:
Cs: 0.000 0.500 0.000
Cs: 0.500 0.000 0.000
Ga: 0.000 0.000 0.500
Ag: 0.500 0.500 0.500
P: 0.000 0.000 0.000

Energy of formation, eV/atom: 0.00
SG: P4/mmm (123)

Material: ZrNiSnCl2
Method: DFT, PBE
State: relaxed

a = 5.311 Å, b = 5.311 Å, c = 4.866 Å
α = 90.00°, β = 90.00°, γ = 90.00°
Sites, in units of the cell vectors:
Zr: 0.000 0.000 0.000
Ni: 0.500 0.500 0.000
Sn: 0.500 0.500 0.500
Cl: 0.000 0.500 0.500
Cl: 0.500 0.000 0.500

Total energy, eV per atom: -3.870
SG: P4/mmm (123)

Material: Tb2AlB2Ru5
Method: DFT, PBE
State: relaxed

a = 9.593 Å, b = 9.593 Å, c = 3.122 Å
α = 90.00°, β = 90.00°, γ = 90.00°
Sites, in units of the cell vectors:
Tb: 0.176 0.324 0.000
Tb: 0.324 0.824 0.000
Tb: 0.676 0.176 0.000
Tb: 0.824 0.676 0.000
Al: 0.000 0.000 0.000
Al: 0.500 0.500 0.000
B: 0.124 0.624 0.000
B: 0.376 0.124 0.000
B: 0.624 0.876 0.000
B: 0.876 0.376 0.000
Ru: 0.000 0.500 0.500
Ru: 0.069 0.782 0.500
Ru: 0.218 0.069 0.500
Ru: 0.282 0.569 0.500
Ru: 0.431 0.282 0.500
Ru: 0.500 0.000 0.500
Ru: 0.569 0.718 0.500
Ru: 0.718 0.431 0.500
Ru: 0.782 0.931 0.500
Ru: 0.931 0.218 0.500

Energy of formation, eV/atom: -0.48
SG: P4/mbm (127)

Material: PtAu2
Method: DFT, PBE
State: relaxed

a = 5.771 Å, b = 4.171 Å, c = 8.566 Å
α = 90.00°, β = 90.00°, γ = 90.00°
Sites, in units of the cell vectors:
Pt: 0.122 0.250 0.081
Pt: 0.378 0.750 0.581
Pt: 0.622 0.250 0.419
Pt: 0.878 0.750 0.919
Au: 0.124 0.250 0.751
Au: 0.126 0.250 0.416
Au: 0.374 0.750 0.916
Au: 0.376 0.750 0.251
Au: 0.624 0.250 0.749
Au: 0.626 0.250 0.084
Au: 0.874 0.750 0.584
Au: 0.876 0.750 0.249

Energy of formation, eV/atom: 0.04
SG: Pnma (62)
Relative energy among the computed polymorphs, meV per atom: 14

Material: PuNpPb2
Method: DFT, PBE
State: relaxed

a = 4.992 Å, b = 4.992 Å, c = 4.475 Å
α = 90.00°, β = 90.00°, γ = 90.00°
Sites, in units of the cell vectors:
Pu: 0.000 0.000 0.000
Np: 0.500 0.500 0.000
Pb: 0.000 0.500 0.500
Pb: 0.500 0.000 0.500

Energy of formation, eV/atom: 0.18
SG: P4/mmm (123)
Relative energy among the computed polymorphs, meV per atom: 107

Material: CrNi4Pb
Method: DFT, PBE
State: relaxed

a = 4.866 Å, b = 4.866 Å, c = 4.866 Å
α = 60.00°, β = 60.00°, γ = 60.00°
Sites, in units of the cell vectors:
Cr: 0.000 0.000 0.000
Ni: 0.123 0.626 0.626
Ni: 0.626 0.123 0.626
Ni: 0.626 0.626 0.123
Ni: 0.626 0.626 0.626
Pb: 0.250 0.250 0.250

Energy of formation, eV/atom: 0.18
SG: F-43m (216)

Material: La3CeSm4S8
Method: DFT, PBE
State: relaxed

a = 8.136 Å, b = 8.136 Å, c = 8.136 Å
α = 59.96°, β = 59.96°, γ = 59.96°
Sites, in units of the cell vectors:
La: 0.000 0.500 0.500
La: 0.500 0.000 0.500
La: 0.500 0.500 0.000
Ce: 0.000 0.000 0.000
Sm: 0.000 0.000 0.500
Sm: 0.000 0.500 0.000
Sm: 0.500 0.000 0.000
Sm: 0.500 0.500 0.500
S: 0.244 0.750 0.750
S: 0.246 0.246 0.246
S: 0.250 0.250 0.756
S: 0.250 0.756 0.250
S: 0.750 0.244 0.750
S: 0.750 0.750 0.244
S: 0.754 0.754 0.754
S: 0.756 0.250 0.250

Total energy, eV per atom: -6.620
SG: R-3m (166)

Material: NdCuAg2Se4
Method: DFT, PBE
State: relaxed

a = 7.222 Å, b = 7.222 Å, c = 12.996 Å
α = 90.00°, β = 90.00°, γ = 147.15°
Sites, in units of the cell vectors:
Nd: 0.093 0.907 0.750
Nd: 0.907 0.093 0.250
Cu: 0.166 0.834 0.250
Cu: 0.834 0.166 0.750
Ag: 0.373 0.627 0.558
Ag: 0.373 0.627 0.942
Ag: 0.627 0.373 0.058
Ag: 0.627 0.373 0.442
Se: 0.000 0.000 0.000
Se: 0.000 0.000 0.500
Se: 0.300 0.700 0.126
Se: 0.300 0.700 0.374
Se: 0.432 0.568 0.750
Se: 0.568 0.432 0.250
Se: 0.700 0.300 0.626
Se: 0.700 0.300 0.874

Total energy, eV per atom: -4.126
SG: Cmcm (63)

Material: CePm2Pd3
Method: DFT, PBE
State: relaxed

a = 7.243 Å, b = 7.243 Å, c = 8.310 Å
α = 106.70°, β = 106.70°, γ = 48.05°
Sites, in units of the cell vectors:
Ce: 0.000 0.000 0.250
Ce: 0.000 0.000 0.750
Pm: 0.331 0.334 0.916
Pm: 0.334 0.331 0.416
Pm: 0.666 0.669 0.584
Pm: 0.669 0.666 0.084
Pd: 0.161 0.163 0.581
Pd: 0.163 0.161 0.081
Pd: 0.499 0.501 0.250
Pd: 0.501 0.499 0.750
Pd: 0.837 0.839 0.919
Pd: 0.839 0.837 0.419

Energy of formation, eV/atom: -0.66
SG: C2/c (15)

Material: NdDyTmAg
Method: DFT, PBE
State: relaxed

a = 7.654 Å, b = 7.654 Å, c = 7.654 Å
α = 90.00°, β = 90.00°, γ = 90.00°
Sites, in units of the cell vectors:
Nd: 0.000 0.000 0.000
Nd: 0.000 0.500 0.500
Nd: 0.500 0.000 0.500
Nd: 0.500 0.500 0.000
Dy: 0.000 0.000 0.500
Dy: 0.000 0.500 0.000
Dy: 0.500 0.000 0.000
Dy: 0.500 0.500 0.500
Tm: 0.250 0.250 0.250
Tm: 0.250 0.750 0.750
Tm: 0.750 0.250 0.750
Tm: 0.750 0.750 0.250
Ag: 0.250 0.250 0.750
Ag: 0.250 0.750 0.250
Ag: 0.750 0.250 0.250
Ag: 0.750 0.750 0.750

Energy of formation, eV/atom: 0.05
SG: F-43m (216)
Relative energy among the computed polymorphs, meV per atom: 187

Material: NdSmSi2Pd5
Method: DFT, PBE
State: relaxed

a = 4.242 Å, b = 4.242 Å, c = 9.047 Å
α = 90.00°, β = 90.00°, γ = 90.00°
Sites, in units of the cell vectors:
Nd: 0.000 0.000 0.000
Sm: 0.000 0.000 0.500
Si: 0.500 0.500 0.368
Si: 0.500 0.500 0.632
Pd: 0.000 0.500 0.235
Pd: 0.000 0.500 0.765
Pd: 0.500 0.000 0.235
Pd: 0.500 0.000 0.765
Pd: 0.500 0.500 0.000

Total energy, eV per atom: -6.037
SG: P4/mmm (123)

Material: LiDy2InO
Method: DFT, PBE
State: relaxed

a = 4.782 Å, b = 4.782 Å, c = 4.302 Å
α = 90.00°, β = 90.00°, γ = 90.00°
Sites, in units of the cell vectors:
Li: 0.000 0.000 0.000
Dy: 0.000 0.500 0.500
Dy: 0.500 0.000 0.500
In: 0.500 0.500 0.000
O: 0.000 0.000 0.500

Total energy, eV per atom: -5.187
SG: P4/mmm (123)

Material: Tb5Ho2Ga4
Method: DFT, PBE
State: relaxed

a = 8.922 Å, b = 8.922 Å, c = 8.922 Å
α = 149.80°, β = 104.74°, γ = 83.18°
Sites, in units of the cell vectors:
Tb: 0.000 0.000 0.000
Tb: 0.182 0.351 0.832
Tb: 0.481 0.649 0.832
Tb: 0.519 0.351 0.168
Tb: 0.818 0.649 0.168
Ho: 0.196 0.696 0.500
Ho: 0.804 0.304 0.500
Ga: 0.142 0.500 0.642
Ga: 0.407 0.907 0.500
Ga: 0.593 0.093 0.500
Ga: 0.858 0.500 0.358

Energy of formation, eV/atom: -0.04
SG: Immm (71)

Material: Er2TeAsH2
Method: DFT, PBE
State: relaxed

a = 3.774 Å, b = 3.774 Å, c = 8.597 Å
α = 90.00°, β = 90.00°, γ = 120.00°
Sites, in units of the cell vectors:
Er: 0.333 0.667 0.229
Er: 0.667 0.333 0.771
Te: 0.000 0.000 0.500
As: 0.000 0.000 0.000
H: 0.333 0.667 0.755
H: 0.667 0.333 0.245

Total energy, eV per atom: -4.837
SG: P-3m1 (164)

Material: Nb3BrF
Method: DFT, PBE
State: relaxed

a = 4.418 Å, b = 4.418 Å, c = 4.418 Å
α = 90.00°, β = 90.00°, γ = 90.00°
Sites, in units of the cell vectors:
Nb: 0.000 0.000 0.500
Nb: 0.000 0.500 0.000
Nb: 0.500 0.000 0.000
Br: 0.500 0.500 0.500
F: 0.000 0.000 0.000

SG: Pm-3m (221)
Relative energy among the computed polymorphs, meV per atom: 0

Material: Rb2DyCl4
Method: DFT, PBE
State: relaxed

a = 5.346 Å, b = 5.346 Å, c = 16.846 Å
α = 90.00°, β = 90.00°, γ = 90.00°
Sites, in units of the cell vectors:
Rb: 0.000 0.000 0.143
Rb: 0.000 0.000 0.857
Rb: 0.500 0.500 0.357
Rb: 0.500 0.500 0.643
Dy: 0.000 0.000 0.500
Dy: 0.500 0.500 0.000
Cl: 0.000 0.000 0.339
Cl: 0.000 0.000 0.661
Cl: 0.000 0.500 0.000
Cl: 0.000 0.500 0.500
Cl: 0.500 0.000 0.000
Cl: 0.500 0.000 0.500
Cl: 0.500 0.500 0.161
Cl: 0.500 0.500 0.839

Total energy, eV per atom: -3.870
SG: I4/mmm (139)

Material: NaH6Ir
Method: DFT, PBE
State: relaxed

a = 4.793 Å, b = 4.793 Å, c = 5.931 Å
α = 90.00°, β = 90.00°, γ = 90.00°
Sites, in units of the cell vectors:
Na: 0.000 0.000 0.000
Na: 0.000 0.000 0.500
H: 0.196 0.332 0.233
H: 0.196 0.332 0.767
H: 0.312 0.422 0.500
H: 0.332 0.804 0.267
H: 0.332 0.804 0.733
H: 0.422 0.688 0.000
H: 0.578 0.312 0.000
H: 0.668 0.196 0.267
H: 0.668 0.196 0.733
H: 0.688 0.578 0.500
H: 0.804 0.668 0.233
H: 0.804 0.668 0.767
Ir: 0.500 0.500 0.250
Ir: 0.500 0.500 0.750

Total energy, eV per atom: -3.850
SG: P4_2/m (84)

Material: CaCo2SiCl
Method: DFT, PBE
State: relaxed

a = 4.782 Å, b = 4.782 Å, c = 5.540 Å
α = 90.00°, β = 90.00°, γ = 90.00°
Sites, in units of the cell vectors:
Ca: 0.000 0.000 0.000
Co: 0.000 0.500 0.000
Co: 0.500 0.000 0.000
Si: 0.000 0.000 0.500
Cl: 0.500 0.500 0.500

Total energy, eV per atom: -2.978
SG: P4/mmm (123)

Material: Sn2HSe
Method: DFT, PBE
State: relaxed

a = 7.024 Å, b = 7.024 Å, c = 7.024 Å
α = 90.00°, β = 90.00°, γ = 90.00°
Sites, in units of the cell vectors:
Sn: 0.250 0.250 0.250
Sn: 0.250 0.250 0.750
Sn: 0.250 0.750 0.250
Sn: 0.250 0.750 0.750
Sn: 0.750 0.250 0.250
Sn: 0.750 0.250 0.750
Sn: 0.750 0.750 0.250
Sn: 0.750 0.750 0.750
H: 0.000 0.000 0.000
H: 0.000 0.500 0.500
H: 0.500 0.000 0.500
H: 0.500 0.500 0.000
Se: 0.000 0.000 0.500
Se: 0.000 0.500 0.000
Se: 0.500 0.000 0.000
Se: 0.500 0.500 0.500

SG: Fm-3m (225)
Relative energy among the computed polymorphs, meV per atom: 149

Material: LiHo6Pd2
Method: DFT, PBE
State: relaxed

a = 7.273 Å, b = 7.273 Å, c = 10.315 Å
α = 124.37°, β = 124.37°, γ = 31.58°
Sites, in units of the cell vectors:
Li: 0.000 0.000 0.000
Ho: 0.021 0.021 0.681
Ho: 0.282 0.282 0.379
Ho: 0.334 0.334 0.974
Ho: 0.666 0.666 0.026
Ho: 0.718 0.718 0.621
Ho: 0.979 0.979 0.319
Pd: 0.405 0.405 0.753
Pd: 0.595 0.595 0.247

Energy of formation, eV/atom: -0.37
SG: C2/m (12)

Material: CuPd2Pt9
Method: DFT, PBE
State: relaxed

a = 3.935 Å, b = 3.935 Å, c = 11.910 Å
α = 90.00°, β = 90.00°, γ = 90.00°
Sites, in units of the cell vectors:
Cu: 0.000 0.000 0.000
Pd: 0.000 0.000 0.331
Pd: 0.000 0.000 0.669
Pt: 0.000 0.500 0.161
Pt: 0.000 0.500 0.500
Pt: 0.000 0.500 0.839
Pt: 0.500 0.000 0.161
Pt: 0.500 0.000 0.500
Pt: 0.500 0.000 0.839
Pt: 0.500 0.500 0.000
Pt: 0.500 0.500 0.330
Pt: 0.500 0.500 0.670

Energy of formation, eV/atom: -0.06
SG: P4/mmm (123)

Material: TbPrOs
Method: DFT, PBE
State: relaxed

a = 7.532 Å, b = 7.532 Å, c = 7.375 Å
α = 90.00°, β = 90.00°, γ = 128.92°
Sites, in units of the cell vectors:
Tb: 0.217 0.283 0.250
Tb: 0.283 0.217 0.750
Tb: 0.717 0.783 0.250
Tb: 0.783 0.717 0.750
Pr: 0.198 0.802 0.394
Pr: 0.302 0.698 0.894
Pr: 0.698 0.302 0.106
Pr: 0.802 0.198 0.606
Os: 0.109 0.891 0.044
Os: 0.391 0.609 0.544
Os: 0.609 0.391 0.456
Os: 0.891 0.109 0.956

Energy of formation, eV/atom: -0.05
SG: Cmce (64)
Relative energy among the computed polymorphs, meV per atom: 35